# Cs2NaCo3F12

Cs2NaCo3F12 after structural relaxation (PBE with a Hubbard U, Alexandria).

a = 7.3841 Å, b = 7.3841 Å, c = 7.3841 Å
α = 60.78°, β = 60.78°, γ = 60.78°
Closest atoms and distances in Å follow each position.
Atoms (fractional coordinates):
Cs 0.6177 0.6177 0.6177  6 F 3.08-3.34
Cs 0.3823 0.3823 0.3823  6 F 3.08-3.34
Na 0.0000 0.0000 0.0000  6 F 2.34
Co 0.5000 0.0000 0.0000  6 F 1.83-1.96
Co 0.0000 0.5000 0.0000  6 F 1.83-1.96
Co 0.0000 0.0000 0.5000  6 F 1.83-1.96
F 0.3002 0.3002 0.9174  2 Co 1.96
F 0.9094 0.9094 0.3773  1 Co 1.83
F 0.3773 0.9094 0.9094  1 Co 1.83
F 0.9174 0.3002 0.3002  2 Co 1.96
F 0.9094 0.3773 0.9094  1 Co 1.83
F 0.3002 0.9174 0.3002  2 Co 1.96
F 0.6998 0.6998 0.0826  2 Co 1.96
F 0.0906 0.0906 0.6227  1 Co 1.83
F 0.6227 0.0906 0.0906  1 Co 1.83
F 0.0826 0.6998 0.6998  2 Co 1.96
F 0.0906 0.6227 0.0906  1 Co 1.83
F 0.6998 0.0826 0.6998  2 Co 1.96

N(E_F): 2.3 states/eV/cell
E: -4.488 eV per atom
volume: 289.68 Å³/cell